ZrTl2Sn PBE relaxed; total energy = -4.03 eV per atom; space group = R-3m
1.0
-2.984 0.054 -1.385
-1.339 -2.784 -1.130
-6.451 -2.849 9.875
Tl Sn Zr
2 1 1
Cartesian
-5.186 -2.360 7.170
-5.588 -3.220 0.190
-5.387 -2.790 3.680
0.000 0.000 0.000

Zr4TlSn PBE relaxed; total energy = -6.67 eV per atom; space group = C2/c
1.0
5.623 0.000 0.000
0.000 6.498 0.663
-2.812 -2.038 8.003
Zr Tl Sn
8 2 2
Cartesian
0.637 -1.283 6.893
3.449 2.493 1.442
2.174 5.742 1.774
-0.637 1.966 7.224
-1.989 4.509 6.290
0.823 3.199 2.708
4.800 -0.050 2.377
1.989 1.260 5.958
1.406 -1.019 4.001
-1.406 2.230 4.333
5.019 4.873 0.498
0.604 1.624 0.166

ZrTl2Sn PBE relaxed; total energy = -3.98 eV per atom; space group = Fm-3m
1.0
-4.641 -1.133 2.320
-4.548 0.828 -2.615
-2.879 -4.129 -1.695
Tl Sn Zr
2 1 1
Cartesian
-3.017 -1.108 -0.497
-9.051 -3.325 -1.492
-6.034 -2.217 -0.995
0.000 0.000 0.000

Which value of total energy does entry 2 give?
-6.67 eV per atom